Entry 1:
## HfMgZnHg (PBE)

Data for a relaxed structure of HfMgZnHg.

extended XYZ file:
```
4
Lattice="0.0000 3.3866 3.3866 3.3866 0.0000 3.3866 3.3866 3.3866 0.0000" Properties=species:S:1:pos:R:3 pbc="T T T"
Hf 0.0000 0.0000 0.0000
Mg 3.3866 3.3866 3.3866
Zn 5.0798 5.0798 5.0798
Hg 1.6933 1.6933 1.6933
```

Properties
Energy of formation from the pure elements: -0.0877 eV/atom
SG: F-43m (216)


Entry 2:
## Hf2Mn2Hg (PBE)

Data for a relaxed structure of Hf2Mn2Hg.

extended XYZ file:
```
10
Lattice="6.8140 0.0000 0.0000 0.0000 6.8140 0.0000 0.0000 0.0000 3.7307" Properties=species:S:1:pos:R:3 pbc="T T T"
Hf 1.2244 2.1826 0.0000
Hf 2.1826 5.5896 0.0000
Hf 4.6315 1.2244 0.0000
Hf 5.5896 4.6315 0.0000
Mn 0.7308 4.1378 1.8654
Mn 2.6762 0.7308 1.8654
Mn 4.1378 6.0833 1.8654
Mn 6.0833 2.6762 1.8654
Hg 0.0000 0.0000 1.8654
Hg 3.4070 3.4070 1.8654
```

Properties
Energy of formation from the pure elements: -0.0023 eV/atom
SG: P4/mbm (127)


Entry 3:
## HfMn4Hg2 (PBE)

Data for a relaxed structure of HfMn4Hg2.

extended XYZ file:
```
7
Lattice="-2.3755 2.3755 6.9906 2.3755 -2.3755 6.9906 2.3755 2.3755 -6.9906" Properties=species:S:1:pos:R:3 pbc="T T T"
Hf 0.0000 0.0000 0.0000
Mn 2.3755 0.0000 0.0000
Mn 0.0000 0.0000 2.6742
Mn 0.0000 2.3755 0.0000
Mn 0.0000 0.0000 11.3069
Hg 0.0000 0.0000 5.3680
Hg 0.0000 0.0000 8.6132
```

Properties
Energy of formation from the pure elements: 1.0246 eV/atom
SG: I4/mmm (139)


Entry 4:
## Hf3Mn2Hg (PBE)

Data for a relaxed structure of Hf3Mn2Hg.

extended XYZ file:
```
6
Lattice="3.1945 0.0000 0.0000 0.0000 3.1945 0.0000 0.0000 0.0000 10.4193" Properties=species:S:1:pos:R:3 pbc="T T T"
Hf 0.0000 0.0000 0.0000
Hf 0.0000 0.0000 3.0785
Hf 0.0000 0.0000 7.3408
Mn 1.5972 1.5972 1.6342
Mn 1.5972 1.5972 8.7851
Hg 1.5972 1.5972 5.2097
```

Properties
Energy of formation from the pure elements: -0.1460 eV/atom
SG: P4/mmm (123)


Entry 5:
## Hf3MnHg (PBE)

Data for a relaxed structure of Hf3MnHg.

extended XYZ file:
```
5
Lattice="4.7911 0.0000 0.0000 0.0000 4.7911 0.0000 0.0000 0.0000 4.7911" Properties=species:S:1:pos:R:3 pbc="T T T"
Hf 0.0000 0.0000 2.3955
Hf 0.0000 2.3955 0.0000
Hf 2.3955 0.0000 0.0000
Mn 0.0000 0.0000 0.0000
Hg 2.3955 2.3955 2.3955
```

Properties
Energy of formation from the pure elements: 0.3481 eV/atom
E above lowest polymorph: 0.000 eV per atom
SG: Pm-3m (221)


Entry 6:
## Hf6MnHg2 (PBE)

Data for a relaxed structure of Hf6MnHg2.

extended XYZ file:
```
9
Lattice="-2.3669 3.2475 6.7959 2.3669 -3.2475 6.7959 2.3669 3.2475 -6.7959" Properties=species:S:1:pos:R:3 pbc="T T T"
Hf 2.3669 1.5584 -2.0386
Hf 0.0000 1.4732 0.0000
Hf 2.3669 1.5584 2.0386
Hf 0.0000 1.6891 4.7573
Hf 0.0000 5.0218 0.0000
Hf 0.0000 1.6891 8.8344
Mn 2.3669 0.0000 0.0000
Hg 2.3669 0.0000 4.4708
Hg 0.0000 3.2475 2.3251
```

Properties
Energy of formation from the pure elements: 0.2920 eV/atom
E above lowest polymorph: 0.368 eV per atom
SG: Immm (71)